This record from Alexandria describes crystalline K2CeMoN4 at its relaxed geometry. The functional is GGA-PBE.

## Properties
**Electronic total energy**: -114.55 eV/cell
**Uncorrected formation energy**: -0.63 eV per atom
**Magnetic moment**: 0.00 Bohr magnetons per cell

```
16
Lattice="7.079 0.000 0.000 0.000 7.615 0.000 0.000 0.000 5.941" Properties=species:S:1:pos:R:3 pbc="T T T"
K 1.727 1.136 0.000
K 1.812 6.479 2.971
K 5.266 6.479 2.971
K 5.352 1.136 0.000
Ce 0.000 2.888 2.859
Ce 3.539 4.727 5.830
Mo 0.000 5.010 5.759
Mo 3.539 2.604 2.789
N 0.000 3.320 0.618
N 0.000 4.768 3.912
N 1.620 5.926 0.212
N 1.919 1.688 3.183
N 3.539 2.847 0.941
N 3.539 4.295 3.589
N 5.160 1.688 3.183
N 5.458 5.926 0.212
```

---

This record from Alexandria describes crystalline La4Sm2Y at its relaxed geometry. The functional is GGA-PBE.

## Properties
**Electronic total energy**: -70.96 eV/cell
**Magnetic moment**: 0.00 Bohr magnetons per cell
**Formation enthalpy at 0 K**: 0.019 eV/atom
**ΔE to the lowest computed polymorph**: 0 meV/atom
**N(E_F)**: 24.50 states/eV/cell

```
14
Lattice="6.375 0.000 0.000 2.079 7.940 0.000 0.028 0.001 9.773" Properties=species:S:1:pos:R:3 pbc="T T T"
La 0.000 0.000 0.000
La 1.071 3.982 4.912
La 1.090 0.573 6.286
La 2.141 1.134 2.809
La 3.213 1.696 9.077
La 4.261 5.687 4.198
La 5.331 2.860 2.115
La 6.395 3.421 8.403
Sm 2.123 4.565 1.404
Sm 5.291 6.237 0.701
Sm 4.275 2.273 5.604
Sm 6.368 6.809 6.984
Y 3.205 5.120 7.702
Y 7.408 7.372 3.494
```

---

This record from Alexandria describes crystalline MnW3Se at its relaxed geometry. The functional is GGA-PBE.

## Properties
**Electronic total energy**: -41.49 eV/cell
**Uncorrected formation energy**: 2.01 eV per atom
**Magnetic moment**: 0.01 Bohr magnetons per cell
**ΔE to the lowest computed polymorph**: 468 meV/atom
**N(E_F)**: 6.84 states/eV/cell

```
5
Lattice="4.541 0.000 0.000 0.000 4.541 0.000 0.000 0.000 4.541" Properties=species:S:1:pos:R:3 pbc="T T T"
Mn 0.000 0.000 0.000
W 0.000 2.271 2.271
W 2.271 0.000 2.271
W 2.271 2.271 0.000
Se 2.271 2.271 2.271
```

---

This record from Alexandria describes crystalline Zn2FeNi at its relaxed geometry. The functional is GGA-PBE.

## Properties
**Electronic total energy**: -50.65 eV/cell
**Magnetic moment**: 8.27 Bohr magnetons per cell
**Formation enthalpy at 0 K**: -0.022 eV/atom
**N(E_F)**: 12.89 states/eV/cell

```
12
Lattice="2.651 0.000 0.000 -1.325 2.296 0.000 0.000 0.000 24.966" Properties=species:S:1:pos:R:3 pbc="T T T"
Zn 0.000 0.000 6.188
Zn 0.000 0.000 18.778
Zn 0.000 1.530 10.456
Zn 0.000 1.530 22.831
Zn 1.325 0.765 2.134
Zn 1.325 0.765 14.510
Fe 0.000 0.000 0.000
Fe 0.000 1.530 16.644
Fe 1.325 0.765 8.322
Ni 0.000 0.000 12.483
Ni 0.000 1.530 4.161
Ni 1.325 0.765 20.805
```

---

This record from Alexandria describes crystalline ScMoAu2 at its relaxed geometry. The functional is GGA-PBE.

## Properties
**Electronic total energy**: -48.27 eV/cell
**Magnetic moment**: 0.00 Bohr magnetons per cell
**Formation enthalpy at 0 K**: -0.104 eV/atom
**ΔE to the lowest computed polymorph**: 49 meV/atom
**N(E_F)**: 8.90 states/eV/cell

```
8
Lattice="9.649 0.000 0.000 0.000 2.975 0.000 -1.035 0.000 4.997" Properties=species:S:1:pos:R:3 pbc="T T T"
Sc 0.000 0.000 0.000
Sc 4.824 1.488 0.000
Mo 2.063 1.488 1.465
Mo 6.887 0.000 1.465
Au 1.570 0.000 3.908
Au 4.254 0.000 2.446
Au 6.395 1.488 3.908
Au 9.078 1.488 2.446
```

---

This record from Alexandria describes crystalline BaN3O at its relaxed geometry. The functional is GGA-PBE.

## Properties
**Electronic total energy**: -22.54 eV/cell
**Uncorrected formation energy**: 1.86 eV per atom
**Magnetic moment**: 3.74 Bohr magnetons per cell
**N(E_F)**: 2.28 states/eV/cell

```
5
Lattice="4.017 0.000 0.000 0.000 4.017 0.000 0.000 0.000 4.017" Properties=species:S:1:pos:R:3 pbc="T T T"
Ba 0.000 0.000 0.000
N 0.000 2.009 2.009
N 2.009 0.000 2.009
N 2.009 2.009 0.000
O 2.009 2.009 2.009
```

---

This record from Alexandria describes crystalline AcYHg at its relaxed geometry. The functional is GGA-PBE.

## Properties
**Electronic total energy**: -11.47 eV/cell
**Magnetic moment**: 0.04 Bohr magnetons per cell
**Formation enthalpy at 0 K**: -0.200 eV/atom
**ΔE to the lowest computed polymorph**: 135 meV/atom
**N(E_F)**: 4.88 states/eV/cell

```
3
Lattice="5.313 0.000 0.000 -2.656 4.601 0.000 0.000 0.000 4.118" Properties=species:S:1:pos:R:3 pbc="T T T"
Ac 0.000 0.000 0.000
Y 2.657 1.534 2.059
Hg 0.000 3.067 2.059
```

---

This record from Alexandria describes crystalline Rb2Li3PbBr8 at its relaxed geometry. The functional is GGA-PBE.

## Properties
**Electronic total energy**: -42.53 eV/cell
**Uncorrected formation energy**: -1.27 eV per atom
**Magnetic moment**: 0.00 Bohr magnetons per cell
**N(E_F)**: 4.66 states/eV/cell

```
14
Lattice="4.194 2.422 8.452 -4.194 2.422 8.452 0.000 -4.843 8.452" Properties=species:S:1:pos:R:3 pbc="T T T"
Rb 0.000 0.000 0.000
Rb 0.000 0.000 8.902
Li 0.000 -2.892 13.402
Li -2.505 1.446 13.402
Li 2.505 1.446 13.402
Pb 0.000 0.000 20.544
Br 0.000 -2.315 6.358
Br -2.005 1.157 6.358
Br 0.000 0.000 3.269
Br -1.727 -0.997 12.074
Br 2.005 1.157 6.358
Br 1.727 -0.997 12.074
Br 0.000 1.994 12.074
Br 0.000 0.000 17.804
```

---

This record from Alexandria describes crystalline SmMnPbSe4 at its relaxed geometry. The functional is GGA-PBE.

## Properties
**Electronic total energy**: -75.67 eV/cell
**Uncorrected formation energy**: -0.90 eV per atom
**Magnetic moment**: 8.79 Bohr magnetons per cell
**N(E_F)**: 3.93 states/eV/cell

```
14
Lattice="7.189 0.000 0.000 0.000 6.101 0.000 -2.642 0.000 8.305" Properties=species:S:1:pos:R:3 pbc="T T T"
Sm 0.622 1.525 3.651
Sm 3.925 4.576 4.653
Mn 0.048 4.576 5.663
Mn 4.500 1.525 2.642
Pb -0.936 1.525 7.832
Pb 5.483 4.576 0.473
Se -0.552 4.576 3.309
Se -1.805 4.576 7.283
Se 2.756 3.120 2.208
Se 2.756 6.032 2.208
Se 1.792 0.069 6.096
Se 1.792 2.981 6.096
Se 6.353 1.525 1.022
Se 5.099 1.525 4.996
```

---

This record from Alexandria describes crystalline V2SbPt at its relaxed geometry. The functional is GGA-PBE.

## Properties
**Electronic total energy**: -111.19 eV/cell
**Uncorrected formation energy**: 0.15 eV per atom
**Magnetic moment**: 0.00 Bohr magnetons per cell
**N(E_F)**: 15.03 states/eV/cell

```
16
Lattice="7.173 0.000 0.000 0.000 7.173 0.000 0.000 0.000 5.458" Properties=species:S:1:pos:R:3 pbc="T T T"
V 1.666 5.380 0.682
V 1.793 1.666 4.775
V 1.793 1.920 2.047
V 1.920 5.380 3.411
V 5.253 1.793 3.411
V 5.380 5.253 2.047
V 5.380 5.507 4.775
V 5.507 1.793 0.682
Sb 0.000 0.000 2.729
Sb 0.000 3.587 4.093
Sb 3.587 0.000 1.364
Sb 3.587 3.587 0.000
Pt 0.000 0.000 0.000
Pt 0.000 3.587 1.364
Pt 3.587 0.000 4.093
Pt 3.587 3.587 2.729
```

---

This record from Alexandria describes crystalline ScZn2Tc at its relaxed geometry. The functional is GGA-PBE.

## Properties
**Electronic total energy**: -19.48 eV/cell
**Magnetic moment**: 0.00 Bohr magnetons per cell
**Formation enthalpy at 0 K**: -0.060 eV/atom
**ΔE to the lowest computed polymorph**: 180 meV/atom
**N(E_F)**: 3.55 states/eV/cell

```
4
Lattice="3.358 0.000 0.000 0.000 3.358 0.000 0.000 0.000 5.823" Properties=species:S:1:pos:R:3 pbc="T T T"
Sc 0.000 0.000 0.000
Zn 0.000 0.000 2.732
Zn 1.679 1.679 4.105
Tc 1.679 1.679 1.401
```

---

This record from Alexandria describes crystalline SiPbNF2 at its relaxed geometry. The functional is GGA-PBE.

## Properties
**Electronic total energy**: -21.28 eV/cell
**Uncorrected formation energy**: -0.02 eV per atom
**Magnetic moment**: 0.28 Bohr magnetons per cell
**ΔE to the lowest computed polymorph**: 1050 meV/atom
**N(E_F)**: 1.32 states/eV/cell

```
5
Lattice="4.495 0.000 0.000 0.000 4.495 0.000 0.000 0.000 4.409" Properties=species:S:1:pos:R:3 pbc="T T T"
Si 0.000 0.000 0.000
Pb 2.247 2.247 2.204
N 2.247 2.247 0.000
F 0.000 2.247 2.204
F 2.247 0.000 2.204
```

---

- Number 5 is which compound?
  ScMoAu2